Computed, not measured: an optimized crystal structure of Ti4RhN at the PBE-GGA level of DFT.

As for the total magnetic moment: 0.000 μB/cell. The calculation puts the density at 5392 kg/m³. For the uncorrected formation energy, the calculation gives -600.7 meV per atom.

It has space group Pmmn (No. 59, origin choice 2), with a = 4.189 Å, b = 7.751 Å, c = 5.850 Å, α = 90.00°, β = 90.00° and γ = 90.00°. The distinct sites, in fractional coordinates, are Ti at (0.250, 0.046, 0.208), Ti at (0.250, 0.250, 0.743), Ti at (0.250, 0.750, 0.574), Rh at (0.250, 0.750, 0.026) and N at (0.250, 0.250, 0.411).

***

Computed, not measured: an optimized crystal structure of Tb2YHg8 at the PBE-GGA level of DFT.

As for the total magnetic moment: 0.000 μB/cell. The calculation puts the density at 12341 kg/m³. As for the formation enthalpy at 0 K: -0.323 eV/atom.

It has space group C2/m (No. 12), with a = 16.004 Å, b = 4.953 Å, c = 7.239 Å, α = 90.00°, β = 109.37° and γ = 90.00°. The distinct sites, in fractional coordinates, are Tb at (0.214, 0.000, 0.156), Y at (0.000, 0.500, 0.500), Hg at (0.027, 0.000, 0.230), Hg at (0.097, 0.500, 0.954), Hg at (0.150, 0.000, 0.681) and Hg at (0.172, 0.500, 0.400).